Entry 1:
Material: Sr3PaCu2O8
Method: DFT, PBE
State: optimized geometry

Lattice parameters (Å, degrees): 5.8682 5.8682 7.4222 90.00 90.00 120.00
Last column: nearest neighbours and their distance in Å.
Fractional coordinates of all 14 atoms:
Sr: 0.0000 0.0000 0.0000  6 O 3.00
Sr: 0.3333 0.6667 0.6318  1 O 2.31
Sr: 0.6667 0.3333 0.3682  1 O 2.31
Pa: 0.0000 0.0000 0.5000  6 O 2.14
Cu: 0.3333 0.6667 0.1819  1 O 1.77
Cu: 0.6667 0.3333 0.8181  1 O 1.77
O: 0.1703 0.3405 0.3294  1 Cu 1.99, 1 Pa 2.14
O: 0.1703 0.8297 0.3294  1 Cu 1.99, 1 Pa 2.14
O: 0.3333 0.6667 0.9431  1 Cu 1.77
O: 0.3405 0.1703 0.6706  1 Cu 1.99, 1 Pa 2.14
O: 0.6595 0.8297 0.3294  1 Cu 1.99, 1 Pa 2.14
O: 0.6667 0.3333 0.0569  1 Cu 1.77
O: 0.8297 0.1703 0.6706  1 Cu 1.99, 1 Pa 2.14
O: 0.8297 0.6595 0.6706  1 Cu 1.99, 1 Pa 2.14

Summary:
Space group = P-3m1
E_form (uncorrected) = -2.12 eV per atom
Magnetic moment = 3.02 μB/f.u.

---

Entry 2:
Material: CsTiP2O7
Method: DFT, PBE
State: optimized geometry

Lattice parameters (Å, degrees): 7.8754 10.3817 8.4613 90.00 104.96 90.00
Last column: nearest neighbours and their distance in Å.
Fractional coordinates of all 44 atoms:
Cs: 0.1995 0.1985 0.0457  9 O 3.04-3.37
Cs: 0.1995 0.3015 0.5457  9 O 3.04-3.37
Cs: 0.8005 0.6985 0.4543  9 O 3.04-3.37
Cs: 0.8005 0.8015 0.9543  9 O 3.04-3.37
Ti: 0.2406 0.6018 0.2577  6 O 1.99-2.13
Ti: 0.2406 0.8982 0.7577  6 O 1.99-2.13
Ti: 0.7594 0.1018 0.2423  6 O 1.99-2.13
Ti: 0.7594 0.3982 0.7423  6 O 1.99-2.13
P: 0.1297 0.5968 0.8309  4 O 1.52-1.63
P: 0.1297 0.9032 0.3309  4 O 1.52-1.63
P: 0.4244 0.6279 0.6817  4 O 1.52-1.64
P: 0.4244 0.8721 0.1817  4 O 1.52-1.64
P: 0.5756 0.1279 0.8183  4 O 1.52-1.64
P: 0.5756 0.3721 0.3183  4 O 1.52-1.64
P: 0.8703 0.0968 0.6691  4 O 1.52-1.63
P: 0.8703 0.4032 0.1691  4 O 1.52-1.63
O: 0.0115 0.0047 0.7631  1 P 1.53
O: 0.0115 0.4953 0.2631  1 P 1.53
O: 0.0912 0.7357 0.7694  1 P 1.54
O: 0.0912 0.7643 0.2694  1 P 1.54
O: 0.1609 0.5861 0.0159  1 P 1.52
O: 0.1609 0.9139 0.5159  1 P 1.52
O: 0.3130 0.5517 0.7919  2 P 1.63-1.64
O: 0.3130 0.9483 0.2919  2 P 1.63-1.64
O: 0.3235 0.6036 0.5034  1 P 1.53
O: 0.3235 0.8964 0.0034  1 P 1.53
O: 0.3931 0.0677 0.7719  1 P 1.52
O: 0.3931 0.4323 0.2719  1 P 1.52
O: 0.4337 0.7293 0.2297  1 P 1.53
O: 0.4337 0.7707 0.7297  1 P 1.53
O: 0.5663 0.2293 0.2703  1 P 1.53
O: 0.5663 0.2707 0.7703  1 P 1.53
O: 0.6069 0.5677 0.7281  1 P 1.52
O: 0.6069 0.9323 0.2281  1 P 1.52
O: 0.6765 0.1036 0.9966  1 P 1.53
O: 0.6765 0.3964 0.4966  1 P 1.53
O: 0.6870 0.0517 0.7081  2 P 1.63-1.64
O: 0.6870 0.4483 0.2081  2 P 1.63-1.64
O: 0.8391 0.0861 0.4841  1 P 1.52
O: 0.8391 0.4139 0.9841  1 P 1.52
O: 0.9088 0.2357 0.7306  1 P 1.54
O: 0.9088 0.2643 0.2306  1 P 1.54
O: 0.9885 0.5047 0.7369  1 P 1.53
O: 0.9885 0.9953 0.2369  1 P 1.53

Summary:
Space group = P2_1/c
E_form (uncorrected) = -2.43 eV per atom
Magnetic moment = 1.00 μB/f.u.

---

Entry 3:
Material: AcCdH8Rh2
Method: DFT, PBE
State: optimized geometry

Lattice parameters (Å, degrees): 6.5559 6.5559 6.5559 44.28 44.28 44.28
Last column: nearest neighbours and their distance in Å.
Fractional coordinates of all 12 atoms:
Ac: 0.0000 0.0000 0.0000  6 H 2.50
Cd: 0.5000 0.5000 0.5000  6 H 2.16
H: 0.0770 0.8832 0.4015  2 Rh 1.73-1.91
H: 0.1168 0.5985 0.9230  2 Rh 1.73-1.91
H: 0.2986 0.2986 0.2986  1 Rh 1.74
H: 0.4015 0.0770 0.8832  2 Rh 1.73-1.91
H: 0.5985 0.9230 0.1168  2 Rh 1.73-1.91
H: 0.7014 0.7014 0.7014  1 Rh 1.74
H: 0.8832 0.4015 0.0770  2 Rh 1.73-1.91
H: 0.9230 0.1168 0.5985  2 Rh 1.73-1.91
Rh: 0.2002 0.2002 0.2002  7 H 1.73-1.91
Rh: 0.7998 0.7998 0.7998  7 H 1.73-1.91

Summary:
Space group = R-3
Magnetic moment = 0.00 μB/f.u.
DFT total energy = -0.2972 Ry/atom

---

Entry 4:
Material: Sr2LiAg4Sb3
Method: DFT, PBE
State: optimized geometry

Lattice parameters (Å, degrees): 4.5831 4.5831 12.1157 90.00 90.00 90.00
Last column: nearest neighbours and their distance in Å.
Fractional coordinates of all 10 atoms:
Sr: 0.0000 0.5000 0.2381  4 Sb 3.44, 8 Ag 3.60-3.68
Sr: 0.5000 0.0000 0.7619  4 Sb 3.44, 8 Ag 3.60-3.68
Li: 0.0000 0.0000 0.5000  4 Ag 2.80
Ag: 0.0000 0.0000 0.0000  4 Sb 2.87
Ag: 0.0000 0.5000 0.6322  3 Sb 2.73-2.80, 2 Li 2.80
Ag: 0.5000 0.0000 0.3678  3 Sb 2.73-2.80, 2 Li 2.80
Ag: 0.5000 0.5000 0.0000  4 Sb 2.87
Sb: 0.0000 0.5000 0.8577  5 Ag 2.73-2.87
Sb: 0.5000 0.0000 0.1423  5 Ag 2.73-2.87
Sb: 0.5000 0.5000 0.5000  4 Ag 2.80

Summary:
Space group = P-4m2
E_form (uncorrected) = -0.48 eV per atom
Magnetic moment = 0.00 μB/f.u.

---

Entry 5:
Material: Mn2Co
Method: DFT, PBE
State: optimized geometry

Lattice parameters (Å, degrees): 4.5765 4.5765 7.3773 90.00 90.00 120.00
Last column: nearest neighbours and their distance in Å.
Fractional coordinates of all 12 atoms:
Mn: 0.0000 0.0000 0.0000  6 Mn 2.31
Mn: 0.0000 0.0000 0.5000  6 Mn 2.31
Mn: 0.1755 0.3510 0.2500  6 Mn 2.17-2.41
Mn: 0.1755 0.8245 0.2500  6 Mn 2.17-2.41
Mn: 0.3510 0.1755 0.7500  6 Mn 2.17-2.41
Mn: 0.6490 0.8245 0.2500  6 Mn 2.17-2.41
Mn: 0.8245 0.1755 0.7500  6 Mn 2.17-2.41
Mn: 0.8245 0.6490 0.7500  6 Mn 2.17-2.41
Co: 0.3333 0.6667 0.5717  4 Co 2.63-2.85, 12 Mn 2.64-2.69
Co: 0.3333 0.6667 0.9283  4 Co 2.63-2.85, 12 Mn 2.64-2.69
Co: 0.6667 0.3333 0.0717  4 Co 2.63-2.85, 12 Mn 2.64-2.69
Co: 0.6667 0.3333 0.4283  4 Co 2.63-2.85, 12 Mn 2.64-2.69

Summary:
Space group = P6_3/mmc
Calculated formation energy = 0.220 eV per atom
Magnetic moment = 1.74 μB/f.u.

---

Entry 6:
Material: TbPmCd5
Method: DFT, PBE
State: optimized geometry

Lattice parameters (Å, degrees): 5.1975 5.1975 6.9156 90.00 90.00 90.00
Last column: nearest neighbours and their distance in Å.
Fractional coordinates of all 7 atoms:
Tb: 0.0000 0.0000 0.0000  8 Cd 3.05
Pm: 0.5000 0.5000 0.5000  8 Cd 3.20
Cd: 0.0000 0.0000 0.5000  8 Cd 3.20, 2 Tb 3.46
Cd: 0.0000 0.5000 0.2304  2 Tb 3.05, 3 Cd 3.19-3.20, 2 Pm 3.20
Cd: 0.0000 0.5000 0.7696  2 Tb 3.05, 3 Cd 3.19-3.20, 2 Pm 3.20
Cd: 0.5000 0.0000 0.2304  2 Tb 3.05, 3 Cd 3.19-3.20, 2 Pm 3.20
Cd: 0.5000 0.0000 0.7696  2 Tb 3.05, 3 Cd 3.19-3.20, 2 Pm 3.20

Summary:
Space group = P4/mmm
Calculated formation energy = -0.121 eV per atom
Magnetic moment = 0.00 μB/f.u.

---

Entry 7:
Material: VFeC2
Method: DFT, PBE
State: optimized geometry

Lattice parameters (Å, degrees): 2.9006 2.9006 4.0968 90.00 90.00 90.00
Last column: nearest neighbours and their distance in Å.
Fractional coordinates of all 4 atoms:
V: 0.0000 0.0000 0.0000  6 C 2.05
Fe: 0.5000 0.5000 0.5000  6 C 2.05
C: 0.0000 0.0000 0.5000  2 V 2.05, 4 Fe 2.05
C: 0.5000 0.5000 0.0000  2 Fe 2.05, 4 V 2.05

Summary:
Space group = P4/mmm
Calculated formation energy = 0.154 eV per atom
Magnetic moment = 1.03 μB/f.u.

---

Entry 8:
Material: BeCu3
Method: DFT, PBE
State: optimized geometry

Lattice parameters (Å, degrees): 4.8860 7.3660 4.8842 90.00 90.00 90.00
Last column: nearest neighbours and their distance in Å.
Fractional coordinates of all 16 atoms:
Be: 0.0137 0.2500 0.0133  8 Cu 2.30-2.50
Be: 0.4863 0.7500 0.5133  8 Cu 2.30-2.50
Be: 0.5137 0.2500 0.4867  8 Cu 2.30-2.50
Be: 0.9863 0.7500 0.9867  8 Cu 2.30-2.50
Cu: 0.0030 0.2500 0.5152  4 Be 2.39-2.50, 8 Cu 2.52-2.57
Cu: 0.2064 0.5046 0.7941  2 Be 2.30-2.36, 8 Cu 2.48-2.57
Cu: 0.2064 0.9954 0.7941  2 Be 2.30-2.36, 8 Cu 2.48-2.57
Cu: 0.2936 0.0046 0.2941  2 Be 2.30-2.36, 8 Cu 2.48-2.57
Cu: 0.2936 0.4954 0.2941  2 Be 2.30-2.36, 8 Cu 2.48-2.57
Cu: 0.4970 0.7500 0.0152  4 Be 2.39-2.50, 8 Cu 2.52-2.57
Cu: 0.5030 0.2500 0.9848  4 Be 2.39-2.50, 8 Cu 2.52-2.57
Cu: 0.7064 0.5046 0.7059  2 Be 2.30-2.36, 8 Cu 2.48-2.57
Cu: 0.7064 0.9954 0.7059  2 Be 2.30-2.36, 8 Cu 2.48-2.57
Cu: 0.7936 0.0046 0.2059  2 Be 2.30-2.36, 8 Cu 2.48-2.57
Cu: 0.7936 0.4954 0.2059  2 Be 2.30-2.36, 8 Cu 2.48-2.57
Cu: 0.9970 0.7500 0.4848  4 Be 2.39-2.50, 8 Cu 2.52-2.57

Summary:
Space group = Pnma
Calculated formation energy = -0.013 eV per atom
Magnetic moment = 0.00 μB/f.u.

---

Entry 9:
Material: BeAlAs2
Method: DFT, PBE
State: optimized geometry

Lattice parameters (Å, degrees): 6.9523 3.5873 6.8085 90.00 118.09 90.00
Last column: nearest neighbours and their distance in Å.
Fractional coordinates of all 8 atoms:
Be: 0.0000 0.0000 0.0000  4 As 2.26-2.30
Be: 0.5000 0.5000 0.0000  4 As 2.26-2.30
Al: 0.0402 0.0000 0.4206  5 As 2.46-2.64, 1 Be 2.74
Al: 0.5402 0.5000 0.4206  5 As 2.46-2.64, 1 Be 2.74
As: 0.3243 0.5000 0.6214  1 Be 2.27, 3 Al 2.46-2.54
As: 0.3600 0.0000 0.1013  3 Be 2.26-2.30
As: 0.8243 0.0000 0.6214  1 Be 2.27, 3 Al 2.46-2.54
As: 0.8600 0.5000 0.1013  3 Be 2.26-2.30

Summary:
Energy relative to the lowest polymorph listed for this composition = 52 meV/atom
Space group = Cm
Calculated formation energy = -0.117 eV per atom
Magnetic moment = 0.00 μB/f.u.

---

Entry 10:
Material: Ho3CdPb3
Method: DFT, PBE
State: optimized geometry

Lattice parameters (Å, degrees): 9.2628 9.2628 6.1874 90.00 90.00 120.00
Last column: nearest neighbours and their distance in Å.
Fractional coordinates of all 14 atoms:
Ho: 0.0421 0.6738 0.2500  5 Pb 3.06-3.19, 1 Cd 3.33
Ho: 0.3262 0.3683 0.2500  5 Pb 3.06-3.19, 1 Cd 3.33
Ho: 0.3683 0.0421 0.7500  5 Pb 3.06-3.19, 1 Cd 3.33
Ho: 0.6317 0.9579 0.2500  5 Pb 3.06-3.19, 1 Cd 3.33
Ho: 0.6738 0.6317 0.7500  5 Pb 3.06-3.19, 1 Cd 3.33
Ho: 0.9579 0.3262 0.7500  5 Pb 3.06-3.19, 1 Cd 3.33
Cd: 0.3333 0.6667 0.7500  3 Pb 2.95
Cd: 0.6667 0.3333 0.2500  3 Pb 2.95
Pb: 0.0332 0.7014 0.7500  1 Cd 2.95, 5 Ho 3.06-3.19
Pb: 0.2986 0.3318 0.7500  1 Cd 2.95, 5 Ho 3.06-3.19
Pb: 0.3318 0.0332 0.2500  1 Cd 2.95, 5 Ho 3.06-3.19
Pb: 0.6682 0.9668 0.7500  1 Cd 2.95, 5 Ho 3.06-3.19
Pb: 0.7014 0.6682 0.2500  1 Cd 2.95, 5 Ho 3.06-3.19
Pb: 0.9668 0.2986 0.2500  1 Cd 2.95, 5 Ho 3.06-3.19

Summary:
Space group = P6_3/m
Calculated formation energy = -0.188 eV per atom
Magnetic moment = 0.00 μB/f.u.

---

Entry 11:
Material: Tb8SmY3
Method: DFT, PBE
State: optimized geometry

Lattice parameters (Å, degrees): 6.3098 8.4816 8.4954 80.04 68.21 68.26
Last column: nearest neighbours and their distance in Å.
Fractional coordinates of all 12 atoms:
Tb: 0.0000 0.0000 0.0000  7 Tb 3.52-3.65, 4 Y 3.54-3.66, 1 Sm 3.54
Tb: 0.0003 0.3345 0.6653  7 Tb 3.52-3.65, 4 Y 3.54-3.66, 1 Sm 3.55
Tb: 0.0800 0.2486 0.2515  7 Tb 3.52-3.67, 3 Y 3.55-3.63, 2 Sm 3.63-3.67
Tb: 0.0797 0.5847 0.9157  7 Tb 3.52-3.67, 3 Y 3.54-3.62, 2 Sm 3.63-3.67
Tb: 0.4992 0.5008 0.5009  7 Tb 3.52-3.65, 4 Y 3.53-3.66, 1 Sm 3.54
Tb: 0.4992 0.8356 0.1664  7 Tb 3.52-3.65, 4 Y 3.54-3.66, 1 Sm 3.55
Tb: 0.5799 0.0842 0.4165  7 Tb 3.52-3.66, 4 Y 3.53-3.66, 1 Sm 3.63
Tb: 0.5799 0.7491 0.7511  7 Tb 3.52-3.66, 4 Y 3.54-3.66, 1 Sm 3.63
Sm: 0.5836 0.4168 0.0838  10 Tb 3.54-3.67, 2 Y 3.55
Y: 0.0823 0.9168 0.5838  10 Tb 3.53-3.66, 2 Y 3.53-3.54
Y: 0.4982 0.1672 0.8328  10 Tb 3.54-3.66, 1 Y 3.54, 1 Sm 3.55
Y: 0.9972 0.6682 0.3337  10 Tb 3.53-3.66, 1 Y 3.53, 1 Sm 3.55

Summary:
Space group = P1
Calculated formation energy = 0.013 eV per atom
Magnetic moment = 0.00 μB/f.u.

---

Entry 12:
Material: Cd2HgIrO8
Method: DFT, PBE
State: optimized geometry

Lattice parameters (Å, degrees): 4.5859 7.0315 5.0786 90.00 93.14 90.00
Last column: nearest neighbours and their distance in Å.
Fractional coordinates of all 12 atoms:
Cd: 0.0000 0.2461 0.0000  6 O 2.28-2.32
Cd: 0.0000 0.7539 0.0000  6 O 2.28-2.32
Hg: 0.5000 0.5000 0.5000  2 O 2.07
Ir: 0.5000 0.0000 0.5000  6 O 1.88-1.89
O: 0.2659 0.1946 0.6313  1 Ir 1.88
O: 0.2659 0.8054 0.6313  1 Ir 1.88
O: 0.2675 0.0000 0.1820  1 Ir 1.89
O: 0.2816 0.5000 0.1327  1 Hg 2.07, 2 Cd 2.28
O: 0.7184 0.5000 0.8673  1 Hg 2.07, 2 Cd 2.28
O: 0.7325 0.0000 0.8180  1 Ir 1.89
O: 0.7341 0.1946 0.3687  1 Ir 1.88
O: 0.7341 0.8054 0.3687  1 Ir 1.88

Summary:
Space group = P2/m
E_form (uncorrected) = -0.40 eV per atom
Magnetic moment = 1.02 μB/f.u.

---

magnetic moment of number 11 (Tb8SmY3)? 0.00 μB/f.u.